Density functional theory data (PBE-GGA) for a relaxed structure of Cu2ReP.

Its crystal system is orthorhombic. The calculation puts the energy of formation at 0.25 eV per atom. The total DFT energy (no corrections) is -6.27 eV per atom.

abc: 3.489 3.796 7.664
angles: 90.00 90.00 90.00
Space group Imm2 (No. 44)
Inequivalent atoms, fractional coordinates:
Cu1 0.000 0.000 0.000
Cu2 0.000 0.500 0.235
Re1 0.000 0.500 0.764
P1 0.000 0.000 0.505


Density functional theory data (PBE-GGA) for a relaxed structure of La2O3.

Its crystal system is monoclinic. The total DFT energy (no corrections) is -8.37 eV per atom. Its uncorrected formation energy is -3.43 eV per atom.

abc: 14.763 3.798 9.221
angles: 90.00 100.44 90.00
Space group C2/m (No. 12)
Inequivalent atoms, fractional coordinates:
La1 0.033 0.000 0.312
La2 0.134 0.500 0.994
La3 0.191 0.500 0.639
O1 0.000 0.500 0.500
O2 0.025 0.500 0.156
O3 0.129 0.000 0.789
O4 0.176 0.000 0.476
O5 0.197 0.000 0.131


no.,M_tot (μB per cell)
1,0.00
2,0.00